No. 1
{"formula": "AcScRhO6", "functional": "PBE-GGA", "state": "relaxed", "cell": [[5.726, 0.000, 0.000], [-2.863, 4.959, 0.000], [0.000, 0.000, 8.313]], "species": ["Ac", "Ac", "Sc", "Sc", "Rh", "Rh", "O", "O", "O", "O", "O", "O", "O", "O", "O", "O", "O", "O"], "frac_coords": [[0.333, 0.667, 0.250], [0.667, 0.333, 0.750], [0.000, 0.000, 0.000], [0.000, 0.000, 0.500], [0.333, 0.667, 0.750], [0.667, 0.333, 0.250], [0.073, 0.365, 0.615], [0.073, 0.708, 0.885], [0.292, 0.365, 0.885], [0.292, 0.927, 0.615], [0.365, 0.073, 0.115], [0.365, 0.292, 0.385], [0.635, 0.708, 0.615], [0.635, 0.927, 0.885], [0.708, 0.073, 0.385], [0.708, 0.635, 0.115], [0.927, 0.292, 0.115], [0.927, 0.635, 0.385]], "formation_energy_uncorrected_ev_per_atom": -1.97, "sg": "No. 163", "dft_energy_ry_per_atom": -0.533}



No. 2
{"formula": "SmGa4Pd8", "functional": "PBE-GGA", "state": "relaxed", "cell": [[-4.442, 4.442, 2.687], [4.442, -4.442, 2.687], [4.442, 4.442, -2.687]], "species": ["Sm", "Ga", "Ga", "Ga", "Ga", "Pd", "Pd", "Pd", "Pd", "Pd", "Pd", "Pd", "Pd"], "frac_coords": [[0.000, 0.000, 0.000], [0.000, 0.000, 0.500], [0.000, 0.500, 0.000], [0.500, 0.000, 0.000], [0.500, 0.500, 0.500], [0.000, 0.338, 0.338], [0.000, 0.662, 0.662], [0.277, 0.500, 0.777], [0.338, 0.000, 0.338], [0.500, 0.277, 0.777], [0.500, 0.723, 0.223], [0.662, 0.000, 0.662], [0.723, 0.500, 0.223]], "sg": "No. 139", "delta_e_f_ev_per_atom": -0.66, "dft_energy_ry_per_atom": -0.379}



No. 3
{"formula": "LaTaCr2", "functional": "PBE-GGA", "state": "relaxed", "cell": [[-1.525, 2.354, 5.123], [1.525, -2.354, 5.123], [1.525, 2.354, -5.123]], "species": ["La", "Ta", "Cr", "Cr"], "frac_coords": [[0.000, 0.000, 0.000], [0.278, 0.778, 0.500], [0.576, 0.576, 0.000], [0.730, 0.230, 0.500]], "sg": "No. 44", "delta_e_f_ev_per_atom": 0.60, "de_polymorph_mev_per_atom": 206, "dft_energy_ry_per_atom": -0.618}



No. 4
{"formula": "FePb2", "functional": "PBE-GGA", "state": "relaxed", "cell": [[0.000, 4.438, 4.438], [4.438, 0.000, 4.438], [4.438, 4.438, 0.000]], "species": ["Fe", "Fe", "Pb", "Pb", "Pb", "Pb"], "frac_coords": [[0.125, 0.125, 0.125], [0.875, 0.875, 0.875], [0.000, 0.500, 0.500], [0.500, 0.000, 0.500], [0.500, 0.500, 0.000], [0.500, 0.500, 0.500]], "sg": "No. 227", "delta_e_f_ev_per_atom": 1.11, "dft_energy_ry_per_atom": -0.308}



No. 5
{"formula": "Ba2ScIn2", "functional": "PBE-GGA", "state": "relaxed", "cell": [[8.123, 0.000, 0.000], [0.000, 8.123, 0.000], [0.000, 0.000, 5.621]], "species": ["Ba", "Ba", "Ba", "Ba", "Sc", "Sc", "In", "In", "In", "In"], "frac_coords": [[0.170, 0.330, 0.000], [0.330, 0.830, 0.000], [0.670, 0.170, 0.000], [0.830, 0.670, 0.000], [0.000, 0.000, 0.500], [0.500, 0.500, 0.500], [0.136, 0.636, 0.500], [0.364, 0.136, 0.500], [0.636, 0.864, 0.500], [0.864, 0.364, 0.500]], "sg": "No. 127", "delta_e_f_ev_per_atom": -0.15, "de_polymorph_mev_per_atom": 0, "dft_energy_ry_per_atom": -0.241}



No. 6
{"formula": "LaTbErTh", "functional": "PBE-GGA", "state": "relaxed", "cell": [[0.000, 4.043, 4.043], [4.043, 0.000, 4.043], [4.043, 4.043, 0.000]], "species": ["La", "Tb", "Er", "Th"], "frac_coords": [[0.000, 0.000, 0.000], [0.750, 0.750, 0.750], [0.250, 0.250, 0.250], [0.500, 0.500, 0.500]], "sg": "No. 216", "delta_e_f_ev_per_atom": 0.12, "de_polymorph_mev_per_atom": 106, "dft_energy_ry_per_atom": -0.387}



No. 7
{"formula": "PmSm6Y2Tm3", "functional": "PBE-GGA", "state": "relaxed", "cell": [[3.110, -5.385, 0.000], [3.110, 5.385, 0.000], [-2.066, 0.000, 11.639]], "species": ["Pm", "Sm", "Sm", "Sm", "Sm", "Sm", "Sm", "Y", "Y", "Tm", "Tm", "Tm"], "frac_coords": [[0.000, 0.000, 0.000], [0.085, 0.418, 0.253], [0.248, 0.248, 0.747], [0.418, 0.085, 0.253], [0.582, 0.915, 0.747], [0.752, 0.752, 0.253], [0.915, 0.582, 0.747], [0.333, 0.667, 0.000], [0.667, 0.333, 0.000], [0.167, 0.833, 0.500], [0.500, 0.500, 0.500], [0.833, 0.167, 0.500]], "sg": "No. 12", "delta_e_f_ev_per_atom": 0.02, "dft_energy_ry_per_atom": -0.363}



No. 8
{"formula": "NaLiAg4", "functional": "PBE-GGA", "state": "relaxed", "cell": [[4.783, -2.256, 0.000], [4.783, 2.256, 0.000], [-2.562, 0.000, 5.108]], "species": ["Na", "Li", "Ag", "Ag", "Ag", "Ag"], "frac_coords": [[0.000, 0.000, 0.000], [0.000, 0.000, 0.500], [0.318, 0.318, 0.668], [0.343, 0.343, 0.188], [0.657, 0.657, 0.812], [0.682, 0.682, 0.332]], "sg": "No. 12", "delta_e_f_ev_per_atom": -0.06, "de_polymorph_mev_per_atom": 24, "dft_energy_ry_per_atom": -0.184}



No. 9
{"formula": "SrGaAs2Cl", "functional": "PBE-GGA", "state": "relaxed", "cell": [[4.758, 0.000, 0.000], [0.000, 4.758, 0.000], [0.000, 0.000, 6.557]], "species": ["Sr", "Ga", "As", "As", "Cl"], "frac_coords": [[0.000, 0.000, 0.000], [0.000, 0.000, 0.500], [0.000, 0.500, 0.500], [0.500, 0.000, 0.500], [0.500, 0.500, 0.000]], "formation_energy_uncorrected_ev_per_atom": -0.38, "sg": "No. 123", "dft_energy_ry_per_atom": -0.261}



No. 10
{"formula": "Ac2CdSn", "functional": "PBE-GGA", "state": "relaxed", "cell": [[5.574, 0.000, 0.000], [0.000, 5.574, 0.000], [0.000, 0.000, 4.379]], "species": ["Ac", "Ac", "Cd", "Sn"], "frac_coords": [[0.000, 0.500, 0.000], [0.500, 0.000, 0.000], [0.000, 0.000, 0.500], [0.500, 0.500, 0.500]], "sg": "No. 123", "delta_e_f_ev_per_atom": -0.49, "de_polymorph_mev_per_atom": 10, "dft_energy_ry_per_atom": -0.277}



No. 11
{"formula": "Sr6AuN2", "functional": "PBE-GGA", "state": "relaxed", "cell": [[7.282, -2.288, 0.000], [7.282, 2.288, 0.000], [-1.662, 0.000, 9.910]], "species": ["Sr", "Sr", "Sr", "Sr", "Sr", "Sr", "Au", "N", "N"], "frac_coords": [[0.107, 0.107, 0.239], [0.186, 0.186, 0.901], [0.358, 0.358, 0.386], [0.642, 0.642, 0.614], [0.814, 0.814, 0.099], [0.893, 0.893, 0.761], [0.000, 0.000, 0.500], [0.254, 0.254, 0.160], [0.746, 0.746, 0.840]], "formation_energy_uncorrected_ev_per_atom": -0.46, "sg": "No. 12", "dft_energy_ry_per_atom": -0.279}



No. 12
{"formula": "Li2Dy3Tl6", "functional": "PBE-GGA", "state": "relaxed", "cell": [[-2.333, 2.333, 12.839], [2.333, -2.333, 12.839], [2.333, 2.333, -12.839]], "species": ["Li", "Li", "Dy", "Dy", "Dy", "Tl", "Tl", "Tl", "Tl", "Tl", "Tl"], "frac_coords": [[0.046, 0.046, 0.000], [0.954, 0.954, 0.000], [0.309, 0.309, 0.000], [0.500, 0.500, 0.000], [0.691, 0.691, 0.000], [0.097, 0.597, 0.500], [0.189, 0.189, 0.000], [0.403, 0.903, 0.500], [0.597, 0.097, 0.500], [0.811, 0.811, 0.000], [0.903, 0.403, 0.500]], "sg": "No. 139", "delta_e_f_ev_per_atom": -0.16, "dft_energy_ry_per_atom": -0.225}



No. 13
{"formula": "Th2MgTl9", "functional": "PBE-GGA", "state": "relaxed", "cell": [[4.797, 0.000, 0.000], [0.000, 4.797, 0.000], [0.000, 0.000, 14.647]], "species": ["Th", "Th", "Mg", "Tl", "Tl", "Tl", "Tl", "Tl", "Tl", "Tl", "Tl", "Tl"], "frac_coords": [[0.000, 0.000, 0.160], [0.000, 0.000, 0.840], [0.000, 0.000, 0.500], [0.000, 0.500, 0.000], [0.000, 0.500, 0.338], [0.000, 0.500, 0.662], [0.500, 0.000, 0.000], [0.500, 0.000, 0.338], [0.500, 0.000, 0.662], [0.500, 0.500, 0.168], [0.500, 0.500, 0.500], [0.500, 0.500, 0.832]], "sg": "No. 123", "delta_e_f_ev_per_atom": -0.07, "dft_energy_ry_per_atom": -0.236}



No. 14
{"formula": "SmHoPb2", "functional": "PBE-GGA", "state": "relaxed", "cell": [[4.346, -9.582, 0.000], [4.346, 9.582, 0.000], [-1.323, 0.000, 5.767]], "species": ["Sm", "Sm", "Sm", "Sm", "Ho", "Ho", "Ho", "Ho", "Pb", "Pb", "Pb", "Pb", "Pb", "Pb", "Pb", "Pb"], "frac_coords": [[0.065, 0.935, 0.750], [0.311, 0.689, 0.750], [0.689, 0.311, 0.250], [0.935, 0.065, 0.250], [0.186, 0.814, 0.250], [0.440, 0.560, 0.250], [0.560, 0.440, 0.750], [0.814, 0.186, 0.750], [0.069, 0.444, 0.237], [0.188, 0.313, 0.760], [0.313, 0.188, 0.260], [0.444, 0.069, 0.737], [0.556, 0.931, 0.263], [0.687, 0.812, 0.740], [0.812, 0.687, 0.240], [0.931, 0.556, 0.763]], "sg": "No. 15", "delta_e_f_ev_per_atom": -0.46, "dft_energy_ry_per_atom": -0.341}



No. 15
{"formula": "AcTmCd", "functional": "PBE-GGA", "state": "relaxed", "cell": [[5.011, 0.000, 0.000], [0.000, 5.011, 0.000], [0.000, 0.000, 8.012]], "species": ["Ac", "Ac", "Tm", "Tm", "Cd", "Cd"], "frac_coords": [[0.250, 0.250, 0.140], [0.750, 0.750, 0.860], [0.250, 0.750, 0.500], [0.750, 0.250, 0.500], [0.250, 0.250, 0.730], [0.750, 0.750, 0.270]], "sg": "No. 129", "delta_e_f_ev_per_atom": -0.16, "de_polymorph_mev_per_atom": 0, "dft_energy_ry_per_atom": -0.244}



No. 16
{"formula": "KBaOs2", "functional": "PBE-GGA", "state": "relaxed", "cell": [[4.376, 0.000, 0.000], [0.000, 4.376, 0.000], [0.000, 0.000, 6.911]], "species": ["K", "Ba", "Os", "Os"], "frac_coords": [[0.000, 0.000, 0.000], [0.000, 0.000, 0.500], [0.500, 0.500, 0.338], [0.500, 0.500, 0.662]], "sg": "No. 123", "delta_e_f_ev_per_atom": 1.47, "de_polymorph_mev_per_atom": 1021, "dft_energy_ry_per_atom": -0.360}



No. 17
{"formula": "Sc3C", "functional": "PBE-GGA", "state": "relaxed", "cell": [[5.789, 0.000, 0.000], [-2.895, 5.014, 0.000], [0.000, 0.000, 9.004]], "species": ["Sc", "Sc", "Sc", "Sc", "Sc", "Sc", "Sc", "Sc", "Sc", "Sc", "Sc", "Sc", "C", "C", "C", "C"], "frac_coords": [[0.000, 0.500, 0.000], [0.000, 0.500, 0.500], [0.155, 0.310, 0.250], [0.155, 0.845, 0.250], [0.310, 0.155, 0.750], [0.500, 0.000, 0.000], [0.500, 0.000, 0.500], [0.500, 0.500, 0.000], [0.500, 0.500, 0.500], [0.690, 0.845, 0.250], [0.845, 0.155, 0.750], [0.845, 0.690, 0.750], [0.000, 0.000, 0.000], [0.000, 0.000, 0.500], [0.333, 0.667, 0.750], [0.667, 0.333, 0.250]], "sg": "No. 194", "delta_e_f_ev_per_atom": 0.63, "de_polymorph_mev_per_atom": 896, "dft_energy_ry_per_atom": -0.472}



No. 18
{"formula": "RbBaTc2O8", "functional": "PBE-GGA", "state": "relaxed", "cell": [[5.585, -3.210, 0.000], [5.585, 3.210, 0.000], [-2.719, 0.000, 6.809]], "species": ["Rb", "Ba", "Tc", "Tc", "O", "O", "O", "O", "O", "O", "O", "O"], "frac_coords": [[0.000, 0.000, 0.000], [0.500, 0.500, 0.500], [0.213, 0.213, 0.687], [0.787, 0.787, 0.313], [0.070, 0.623, 0.233], [0.153, 0.153, 0.429], [0.377, 0.930, 0.767], [0.383, 0.383, 0.770], [0.617, 0.617, 0.230], [0.623, 0.070, 0.233], [0.847, 0.847, 0.571], [0.930, 0.377, 0.767]], "formation_energy_uncorrected_ev_per_atom": -1.82, "sg": "No. 12", "dft_energy_ry_per_atom": -0.521}



No. 19
{"formula": "PmSmPu", "functional": "PBE-GGA", "state": "relaxed", "cell": [[3.586, 0.000, 0.000], [-1.793, 3.105, 0.000], [0.000, 0.000, 8.660]], "species": ["Pm", "Sm", "Pu"], "frac_coords": [[0.000, 0.000, 0.000], [0.667, 0.333, 0.344], [0.333, 0.667, 0.671]], "sg": "No. 156", "delta_e_f_ev_per_atom": 0.14, "de_polymorph_mev_per_atom": 16, "dft_energy_ry_per_atom": -0.573}